Entry 1:
Below is a PBEsol-optimized structure of Rb2NaLi2, with properties calculated at the meta-GGA SCAN level.

VASP energy (eV/atom): -9.96
D(E_F) (states/eV per cell): 5.01
Formation energy from the elements (eV/atom): 0.137

Cell: 8.7017 8.7017 6.2460 Å, 90.00 90.00 90.00°
Closest atoms and distances in Å follow each position.
Space group P4/mbm (No. 127)
One atom of each set of equivalent atoms:
1 Rb 0.1813 0.3187 0.0000 (multiplicity 4)  6 Li 3.94-4.13
2 Na 0.0000 0.0000 0.5000 (multiplicity 2)  4 Li 3.44
3 Li 0.1240 0.6240 0.5000 (multiplicity 4)  1 Li 3.05

***

Entry 2:
Below is a PBEsol-optimized structure of RbNaLi2, with properties calculated at the meta-GGA SCAN level.

VASP energy (eV/atom): -7.19
D(E_F) (states/eV per cell): 8.36
Formation energy from the elements (eV/atom): 0.243

Cell: 5.1659 5.1659 24.4667 Å, 90.00 90.00 90.00°
Closest atoms and distances in Å follow each position.
Space group I-42d (No. 122)
One atom of each set of equivalent atoms:
1 Rb 0.0000 0.0000 0.0000 (multiplicity 4)  4 Na 3.65, 4 Li 3.72
2 Na 0.0000 0.0000 0.5000 (multiplicity 4)  4 Li 3.44, 4 Rb 3.65
3 Li 0.1740 0.2500 0.6250 (multiplicity 8)  2 Li 3.15, 2 Na 3.44

***

Entry 3:
Below is a PBEsol-optimized structure of Rb2NaLi, with properties calculated at the meta-GGA SCAN level.

VASP energy (eV/atom): -11.84
D(E_F) (states/eV per cell): 9.91
Formation energy from the elements (eV/atom): 0.183

Cell: 10.6150 10.6150 7.9277 Å, 90.00 90.00 90.00°
Closest atoms and distances in Å follow each position.
Space group I-42d (No. 122)
One atom of each set of equivalent atoms:
1 Rb 0.2344 0.7500 0.1250 (multiplicity 8)  2 Li 3.77, 2 Rb 3.98, 2 Na 4.00
2 Na 0.0000 0.0000 0.5000 (multiplicity 4)  2 Li 3.96, 4 Rb 4.00
3 Li 0.0000 0.0000 0.0000 (multiplicity 4)  4 Rb 3.77, 2 Na 3.96

***

Entry 4:
Below is a PBEsol-optimized structure of Na2LiReSb, with properties calculated at the meta-GGA SCAN level.

VASP energy (eV/atom): -22.42
D(E_F) (states/eV per cell): 3.12
Formation energy from raw total energies (eV per formula unit): 7.060

Cell: 5.5549 5.5549 4.8391 Å, 90.00 90.00 90.00°
Closest atoms and distances in Å follow each position.
Space group P4/mmm (No. 123)
One atom of each set of equivalent atoms:
1 Na 0.0000 0.5000 0.0000 (multiplicity 2)  2 Re 2.78
2 Li 0.0000 0.0000 0.5000 (multiplicity 1)  2 Re 2.42
3 Re 0.0000 0.0000 0.0000 (multiplicity 1)  2 Li 2.42
4 Sb 0.5000 0.5000 0.5000 (multiplicity 1)  8 Na 3.68, 4 Li 3.93

***

Entry 5:
Below is a PBEsol-optimized structure of Na2Li2Rh, with properties calculated at the meta-GGA SCAN level.

VASP energy (eV/atom): -8.90
D(E_F) (states/eV per cell): 2.65
Formation energy from the elements (eV/atom): 0.499

Cell: 3.7672 3.7672 12.6601 Å, 90.00 90.00 90.00°
Closest atoms and distances in Å follow each position.
Space group I4/mmm (No. 139)
One atom of each set of equivalent atoms:
1 Na 0.0000 0.5000 0.2500 (multiplicity 4)  4 Na 2.66, 4 Li 2.86
2 Li 0.0000 0.0000 0.0797 (multiplicity 4)  1 Li 2.02
3 Rh 0.0000 0.0000 0.5000 (multiplicity 2)  8 Li 2.85

***

Entry 6:
Below is a PBEsol-optimized structure of NaLi3Rh, with properties calculated at the meta-GGA SCAN level.

VASP energy (eV/atom): -8.89
D(E_F) (states/eV per cell): 1.61
Formation energy from the elements (eV/atom): 0.144

Cell: 4.7205 4.7205 4.7205 Å, 90.00 90.00 90.00°
Closest atoms and distances in Å follow each position.
Space group Pm-3m (No. 221)
One atom of each set of equivalent atoms:
1 Na 0.0000 0.0000 0.0000 (multiplicity 1)  12 Li 3.34
2 Li 0.0000 0.5000 0.5000 (multiplicity 3)  2 Rh 2.36
3 Rh 0.5000 0.5000 0.5000 (multiplicity 1)  6 Li 2.36

***

Entry 7:
Below is a PBEsol-optimized structure of NaLi2Ru, with properties calculated at the meta-GGA SCAN level.

VASP energy (eV/atom): -10.38
D(E_F) (states/eV per cell): 8.90
Formation energy from the elements (eV/atom): 0.573

Cell: 6.3632 6.3632 6.3632 Å, 90.00 90.00 90.00°
Closest atoms and distances in Å follow each position.
Space group Fm-3m (No. 225)
One atom of each set of equivalent atoms:
1 Na 0.0000 0.0000 0.0000 (multiplicity 4)  8 Li 2.76
2 Li 0.2500 0.2500 0.2500 (multiplicity 8)  4 Na 2.76, 4 Ru 2.76
3 Ru 0.0000 0.0000 0.5000 (multiplicity 4)  8 Li 2.76

***

Entry 8:
Below is a PBEsol-optimized structure of NaLi3Ru, with properties calculated at the meta-GGA SCAN level.

VASP energy (eV/atom): -8.23
D(E_F) (states/eV per cell): 0.66
Formation energy from the elements (eV/atom): 1.014

Cell: 4.2057 4.2057 4.2057 Å, 90.00 90.00 90.00°
Closest atoms and distances in Å follow each position.
Space group Pm-3m (No. 221)
One atom of each set of equivalent atoms:
1 Na 0.0000 0.0000 0.0000 (multiplicity 1)  6 Li 2.10
2 Li 0.0000 0.0000 0.5000 (multiplicity 3)  2 Na 2.10
3 Ru 0.5000 0.5000 0.5000 (multiplicity 1)  12 Li 2.97